A PBEsol-optimized structure of Ba2CuAu, computed with meta-GGA SCAN.

abc: 4.5976 4.5491 12.1361
angles: 90.00 90.00 90.00
Closest atoms and distances in Å follow each position.
Space group Amm2 (No. 38)
Unique sites:
Ba 0.0000 0.0000 0.0000 x2  3 Au 3.32-3.65, 4 Cu 3.39
Ba 0.5000 0.0000 0.2783 x2  2 Cu 3.28, 4 Au 3.37
Cu 0.5000 0.0000 0.5840 x2  2 Au 2.69
Au 0.0000 0.0000 0.6991 x2  2 Cu 2.69

Summary:
**DFT formation energy**: -0.427 eV per atom
**M_tot**: 0.0 μB per cell
**Offset from the most stable computed form**: 0.0137 eV/atom

=====

A PBEsol-optimized structure of Ba2CuAu, computed with meta-GGA SCAN.

abc: 5.5267 5.5267 3.8879
angles: 90.00 90.00 90.00
Closest atoms and distances in Å follow each position.
Space group P4/mmm (No. 123)
Unique sites:
Ba 0.0000 0.5000 0.0000 x2  4 Cu 3.38, 4 Au 3.38
Cu 0.0000 0.0000 0.5000 x1  8 Ba 3.38
Au 0.5000 0.5000 0.5000 x1  8 Ba 3.38

Summary:
**DFT formation energy**: -0.355 eV per atom
**M_tot**: 0.0 μB per cell
**Offset from the most stable computed form**: 0.0857 eV/atom

=====

A PBEsol-optimized structure of Ba2CuAu, computed with meta-GGA SCAN.

abc: 4.5472 4.5472 24.2235
angles: 90.00 90.00 120.00
Closest atoms and distances in Å follow each position.
Space group R3m (No. 160, hexagonal axes)
Unique sites:
Ba 0.0000 0.0000 0.0000 x3  3 Au 3.33, 3 Cu 3.33
Ba 0.0000 0.0000 0.1688 x3  3 Cu 3.32, 3 Au 3.33
Cu 0.0000 0.0000 0.7514 x3  3 Au 2.63
Au 0.0000 0.0000 0.4176 x3  3 Cu 2.63

Summary:
**DFT formation energy**: -0.441 eV per atom
**M_tot**: 0.1 μB per cell
**Offset from the most stable computed form**: 0.0000 eV/atom

=====

A PBEsol-optimized structure of BaMgCu2Au, computed with meta-GGA SCAN.

abc: 5.2840 5.2840 6.3758
angles: 90.00 90.00 90.00
Closest atoms and distances in Å follow each position.
Space group P4/mmm (No. 123)
Unique sites:
Ba 0.0000 0.0000 0.0000 x1  4 Cu 2.64
Mg 0.0000 0.0000 0.5000 x1  2 Ba 3.19
Cu 0.0000 0.5000 0.0000 x2  2 Ba 2.64
Au 0.5000 0.5000 0.5000 x1  4 Mg 3.74, 8 Cu 4.14

Summary:
**DFT formation energy**: 1.567 eV per atom
**M_tot**: 0.0 μB per cell

=====

A PBEsol-optimized structure of Ba3AuF, computed with meta-GGA SCAN.

abc: 5.3760 5.3760 5.3760
angles: 90.00 90.00 90.00
Closest atoms and distances in Å follow each position.
Space group Pm-3m (No. 221)
Unique sites:
Ba 0.0000 0.0000 0.5000 x3  2 F 2.69
Au 0.5000 0.5000 0.5000 x1  12 Ba 3.80
F 0.0000 0.0000 0.0000 x1  6 Ba 2.69

Summary:
**M_tot**: 0.0 μB per cell
**Formation energy from raw total energies**: -1.281 eV per atom

=====

A PBEsol-optimized structure of BaAu2F12, computed with meta-GGA SCAN.

abc: 10.4124 10.4124 10.4124
angles: 90.00 90.00 90.00
Closest atoms and distances in Å follow each position.
Space group Pm-3m (No. 221)
Unique sites:
Ba 0.0000 0.0000 0.0000 x1  24 F 3.68
Ba 0.0000 0.0000 0.5000 x3  8 F 2.71
Au 0.2492 0.2492 0.2492 x8  6 F 1.89-1.94
F 0.1238 0.1238 0.3075 x24  1 Au 1.94
F 0.1851 0.3691 0.3691 x24  1 Au 1.89

Summary:
**M_tot**: 0.0 μB per cell
**Formation energy from raw total energies**: -1.609 eV per atom

=====

A PBEsol-optimized structure of BaAuOF2, computed with meta-GGA SCAN.

abc: 4.9150 4.9150 4.5628
angles: 90.00 90.00 90.00
Closest atoms and distances in Å follow each position.
Space group P4/mmm (No. 123)
Unique sites:
Ba 0.0000 0.0000 0.0000 x1  2 O 2.28, 4 F 2.46
Au 0.5000 0.5000 0.5000 x1  8 F 3.35, 4 O 3.48
O 0.0000 0.0000 0.5000 x1  2 Ba 2.28
F 0.0000 0.5000 0.0000 x2  2 Ba 2.46

Summary:
**M_tot**: 0.2 μB per cell
**Formation energy from raw total energies**: -1.116 eV per atom

=====

A PBEsol-optimized structure of BaFeAu2, computed with meta-GGA SCAN.

abc: 4.4009 4.4009 8.9796
angles: 90.00 90.00 90.00
Closest atoms and distances in Å follow each position.
Space group I-4m2 (No. 119)
Unique sites:
Ba 0.0000 0.0000 0.0000 x2  8 Au 3.11-3.14, 4 Fe 3.14
Fe 0.0000 0.5000 0.2500 x2  8 Au 3.11-3.14, 4 Ba 3.14
Au 0.0000 0.0000 0.5000 x2  4 Ba 3.11, 4 Fe 3.14, 4 Au 3.14
Au 0.0000 0.5000 0.7500 x2  4 Fe 3.11, 4 Ba 3.14, 4 Au 3.14

Summary:
**DFT formation energy**: 0.107 eV per atom
**M_tot**: 6.7 μB per cell

=====

A PBEsol-optimized structure of BaFe2Au, computed with meta-GGA SCAN.

abc: 4.4240 4.4240 3.7652
angles: 90.00 90.00 90.00
Closest atoms and distances in Å follow each position.
Space group P4/mmm (No. 123)
Unique sites:
Ba 0.0000 0.0000 0.0000 x1  8 Fe 2.90, 4 Au 3.13
Fe 0.0000 0.5000 0.5000 x2  4 Au 2.90, 4 Ba 2.90, 4 Fe 3.13
Au 0.5000 0.5000 0.0000 x1  8 Fe 2.90, 4 Ba 3.13

Summary:
**DFT formation energy**: 0.763 eV per atom
**M_tot**: 4.9 μB per cell

=====

A PBEsol-optimized structure of Ba4FeAu, computed with meta-GGA SCAN.

abc: 9.6069 9.6069 9.6069
angles: 90.00 90.00 90.00
Closest atoms and distances in Å follow each position.
Space group F-43m (No. 216)
Unique sites:
Ba 0.1247 0.1247 0.1247 x16  6 Ba 3.39-3.40
Fe 0.0000 0.0000 0.5000 x4  12 Ba 3.98, 4 Au 4.16
Au 0.2500 0.2500 0.7500 x4  12 Ba 3.98, 4 Fe 4.16

Summary:
**DFT formation energy**: 0.816 eV per atom
**M_tot**: 6.6 μB per cell

=====

A PBEsol-optimized structure of BaGa3Au, computed with meta-GGA SCAN.

abc: 5.7929 5.7929 5.7929
angles: 90.00 90.00 90.00
Closest atoms and distances in Å follow each position.
Space group Pm-3m (No. 221)
Unique sites:
Ba 0.0000 0.0000 0.0000 x1  6 Ga 2.90
Ga 0.0000 0.0000 0.5000 x3  2 Ba 2.90
Au 0.5000 0.5000 0.5000 x1  12 Ga 4.10

Summary:
**DFT formation energy**: 1.331 eV per atom
**M_tot**: 0.0 μB per cell

=====

A PBEsol-optimized structure of BaGe2Au, computed with meta-GGA SCAN.

abc: 4.7339 18.1607 4.4669
angles: 90.00 90.00 90.00
Closest atoms and distances in Å follow each position.
Space group Cmcm (No. 63)
Unique sites:
Ba 0.0000 0.1073 0.2500 x4  10 Ge 3.40-3.53, 4 Au 3.50
Ge 0.0000 0.2488 0.7500 x4  4 Au 2.60-2.69
Ge 0.0000 0.4639 0.2500 x4  1 Au 2.58, 2 Ge 2.59
Au 0.0000 0.3220 0.2500 x4  5 Ge 2.58-2.69

Summary:
**DFT formation energy**: -0.650 eV per atom
**M_tot**: 0.0 μB per cell

=====

no.,raw total energy (eV per cell)
1,-330.33
2,-164.88
3,-495.66
4,-136.24
5,-197.75
6,-977.95
7,-127.60
8,-391.13
9,-141.92
10,-962.36
11,-151.09
12,-597.93